i | The following is a DFT calculation (PBE) of a relaxed CaHfBe crystal.

The structure in CIF format:
```
data_CaHfBe
_symmetry_space_group_name_H-M 'F -4 3 m'
_symmetry_Int_Tables_number 216
_symmetry_space_group_name_Hall 'F -4 2 3'
_cell_length_a 6.5323
_cell_length_b 6.5323
_cell_length_c 6.5323
_cell_angle_alpha 90.00
_cell_angle_beta 90.00
_cell_angle_gamma 90.00
loop_
_atom_site_label
_atom_site_fract_x
_atom_site_fract_y
_atom_site_fract_z
Ca1 0.0000 0.0000 0.0000
Hf1 0.0000 0.0000 0.5000
Be1 0.2500 0.2500 0.7500
```

ii | The following is a DFT calculation (PBE) of a relaxed CaHfBe crystal.

The structure in CIF format:
```
data_CaHfBe
_symmetry_space_group_name_H-M 'C 1 m 1'
_symmetry_Int_Tables_number 8
_cell_length_a 10.3619
_cell_length_b 3.1929
_cell_length_c 8.4480
_cell_angle_alpha 90.00
_cell_angle_beta 111.81
_cell_angle_gamma 90.00
loop_
_symmetry_equiv_pos_as_xyz
'x,y,z'
'x,-y,z'
'x+1/2,y+1/2,z'
'x+1/2,-y+1/2,z'
loop_
_atom_site_label
_atom_site_fract_x
_atom_site_fract_y
_atom_site_fract_z
Ca1 0.0000 0.0000 0.0000
Ca2 0.1750 0.5000 0.7612
Hf1 0.0233 0.0000 0.3791
Hf2 0.3425 0.0000 0.5178
Be1 0.2196 0.5000 0.2626
Be2 0.3181 0.0000 0.1598
```

Relative energies in eV/atom: i 0.451; ii 0.000

i | The following is a DFT calculation (PBE) of a relaxed CaBe3Hg crystal.

The structure in CIF format:
```
data_CaBe3Hg
_symmetry_space_group_name_H-M 'P m -3 m'
_symmetry_Int_Tables_number 221
_symmetry_space_group_name_Hall '-P 4 2 3'
_cell_length_a 4.5262
_cell_length_b 4.5262
_cell_length_c 4.5262
_cell_angle_alpha 90.00
_cell_angle_beta 90.00
_cell_angle_gamma 90.00
loop_
_atom_site_label
_atom_site_fract_x
_atom_site_fract_y
_atom_site_fract_z
Ca1 0.0000 0.0000 0.0000
Be1 0.0000 0.5000 0.5000
Hg1 0.5000 0.5000 0.5000
```

ii | The following is a DFT calculation (PBE) of a relaxed CaBe3Hg crystal.

The structure in CIF format:
```
data_CaBe3Hg
_symmetry_space_group_name_H-M 'P m -3 m'
_symmetry_Int_Tables_number 221
_symmetry_space_group_name_Hall '-P 4 2 3'
_cell_length_a 5.5225
_cell_length_b 5.5225
_cell_length_c 5.5225
_cell_angle_alpha 90.00
_cell_angle_beta 90.00
_cell_angle_gamma 90.00
loop_
_atom_site_label
_atom_site_fract_x
_atom_site_fract_y
_atom_site_fract_z
Ca1 0.0000 0.0000 0.0000
Be1 0.0000 0.0000 0.5000
Hg1 0.5000 0.5000 0.5000
```

Relative energies in eV/atom: i 0.000; ii 1.297

i | The following is a DFT calculation (PBE) of a relaxed Ca2BeHg crystal.

The structure in CIF format:
```
data_Ca2BeHg
_symmetry_space_group_name_H-M 'A m m 2'
_symmetry_Int_Tables_number 38
_cell_length_a 4.3633
_cell_length_b 4.5123
_cell_length_c 10.7848
_cell_angle_alpha 90.00
_cell_angle_beta 90.00
_cell_angle_gamma 90.00
loop_
_symmetry_equiv_pos_as_xyz
'x,y,z'
'-x,-y,z'
'-x,y,z'
'x,-y,z'
'x,y+1/2,z+1/2'
'-x,-y+1/2,z+1/2'
'-x,y+1/2,z+1/2'
'x,-y+1/2,z+1/2'
loop_
_atom_site_label
_atom_site_fract_x
_atom_site_fract_y
_atom_site_fract_z
Ca1 0.0000 0.0000 0.0000
Ca2 0.5000 0.0000 0.2926
Be1 0.5000 0.0000 0.5951
Hg1 0.0000 0.0000 0.7004
```

ii | The following is a DFT calculation (PBE) of a relaxed Ca2BeHg crystal.

The structure in CIF format:
```
data_Ca2BeHg
_symmetry_space_group_name_H-M 'C 1 m 1'
_symmetry_Int_Tables_number 8
_cell_length_a 11.5153
_cell_length_b 3.6956
_cell_length_c 5.1727
_cell_angle_alpha 90.00
_cell_angle_beta 116.57
_cell_angle_gamma 90.00
loop_
_symmetry_equiv_pos_as_xyz
'x,y,z'
'x,-y,z'
'x+1/2,y+1/2,z'
'x+1/2,-y+1/2,z'
loop_
_atom_site_label
_atom_site_fract_x
_atom_site_fract_y
_atom_site_fract_z
Ca1 0.0000 0.0000 0.0000
Ca2 0.1984 0.0000 0.6982
Be1 0.4418 0.0000 0.4424
Hg1 0.2840 0.5000 0.2839
```

iii | The following is a DFT calculation (PBE) of a relaxed Ca2BeHg crystal.

The structure in CIF format:
```
data_Ca2BeHg
_symmetry_space_group_name_H-M 'P 4 m m'
_symmetry_Int_Tables_number 99
_cell_length_a 3.5731
_cell_length_b 3.5731
_cell_length_c 8.1551
_cell_angle_alpha 90.00
_cell_angle_beta 90.00
_cell_angle_gamma 90.00
loop_
_symmetry_equiv_pos_as_xyz
'x,y,z'
'-y,x,z'
'-x,-y,z'
'y,-x,z'
'-x,y,z'
'y,x,z'
'x,-y,z'
'-y,-x,z'
loop_
_atom_site_label
_atom_site_fract_x
_atom_site_fract_y
_atom_site_fract_z
Ca1 0.0000 0.0000 0.0000
Ca2 0.5000 0.5000 0.3840
Be1 0.5000 0.5000 0.7690
Hg1 0.0000 0.0000 0.6246
```

Relative energies in eV/atom: i 0.000; ii 0.069; iii 0.163

i | The following is a DFT calculation (PBE) of a relaxed Ca2BeHg crystal.

The structure in CIF format:
```
data_Ca2BeHg
_symmetry_space_group_name_H-M 'F -4 3 m'
_symmetry_Int_Tables_number 216
_symmetry_space_group_name_Hall 'F -4 2 3'
_cell_length_a 7.0541
_cell_length_b 7.0541
_cell_length_c 7.0541
_cell_angle_alpha 90.00
_cell_angle_beta 90.00
_cell_angle_gamma 90.00
loop_
_atom_site_label
_atom_site_fract_x
_atom_site_fract_y
_atom_site_fract_z
Ca1 0.0000 0.0000 0.0000
Ca2 0.2500 0.2500 0.2500
Be1 0.0000 0.0000 0.5000
Hg1 0.2500 0.2500 0.7500
```

ii | The following is a DFT calculation (PBE) of a relaxed Ca2BeHg crystal.

The structure in CIF format:
```
data_Ca2BeHg
_symmetry_space_group_name_H-M 'C 1 2/m 1'
_symmetry_Int_Tables_number 12
_cell_length_a 7.2438
_cell_length_b 4.1624
_cell_length_c 8.0454
_cell_angle_alpha 90.00
_cell_angle_beta 107.35
_cell_angle_gamma 90.00
loop_
_symmetry_equiv_pos_as_xyz
'x,y,z'
'-x,-y,-z'
'-x,y,-z'
'x,-y,z'
'x+1/2,y+1/2,z'
'-x+1/2,-y+1/2,-z'
'-x+1/2,y+1/2,-z'
'x+1/2,-y+1/2,z'
loop_
_atom_site_label
_atom_site_fract_x
_atom_site_fract_y
_atom_site_fract_z
Ca1 0.2400 0.0000 0.2198
Be1 0.0000 0.5000 0.0000
Hg1 0.0000 0.0000 0.5000
```

Relative energies in eV/atom: i 0.000; ii 0.043